[1]
Below is a relaxed VTcAu2 crystal, with properties calculated at the GGA-PBE level.

```
VTcAu2
1.0
3.7460 0.0000 0.0000
0.0000 3.7460 0.0000
1.8730 1.8730 9.8165
Au Tc V
4 2 2
direct
0.6249 0.1250 0.2500
0.1251 0.6250 0.2500
0.3750 0.3751 0.7500
0.8750 0.8749 0.7500
0.0000 0.0000 0.0000
0.7500 0.2500 0.5000
0.5000 0.5000 0.0000
0.2500 0.7500 0.5000
```

- Relative energy among the computed polymorphs: 42.3 kJ/mol of formula units
- Calculated formation energy: 498 meV/atom

[2]
Below is a relaxed BaSrNb3 crystal, with properties calculated at the GGA-PBE level.

```
BaSrNb3
1.0
-2.7095 -3.9845 2.0221
3.0233 -3.3761 -2.6016
3.2901 -0.1790 4.0559
Sr Nb Ba
1 3 1
direct
0.5000 0.5000 0.5000
0.0000 0.5000 0.0000
0.0000 0.0000 0.5000
0.5000 0.0000 0.0000
0.0000 0.0000 0.0000
```

- Relative energy among the computed polymorphs: 0.0 kJ/mol of formula units
- Calculated formation energy: 2080 meV/atom

[3]
Below is a relaxed NaCoCl3 crystal, with properties calculated at the GGA-PBE level.

```
NaCoCl3
1.0
-3.8091 4.3121 -4.0409
-7.5672 -4.5724 -2.7647
-6.1064 4.3827 5.4145
Na Co Cl
4 4 12
direct
0.7500 0.9016 0.0984
0.7500 0.2599 0.7401
0.2500 0.7401 0.2599
0.2500 0.0984 0.9016
0.6739 0.3749 0.2126
0.1739 0.2126 0.3749
0.8261 0.7874 0.6251
0.3261 0.6251 0.7874
0.8189 0.2005 0.0320
0.3189 0.0320 0.2005
0.6754 0.6126 0.1329
0.8191 0.2979 0.4065
0.1754 0.1329 0.6126
0.3191 0.4065 0.2979
0.6809 0.5935 0.7021
0.8246 0.8671 0.3874
0.1809 0.7021 0.5935
0.3246 0.3874 0.8671
0.6811 0.9680 0.7995
0.1811 0.7995 0.9680
```

- Formation energy from raw total energies: -1.044 eV per atom

[4]
Below is a relaxed Th6POs2S3 crystal, with properties calculated at the GGA-PBE level.

```
Th6POs2S3
1.0
7.1373 0.0022 0.0016
-3.5650 6.1832 0.0016
-1.1894 -2.0595 6.8801
Th P Os S
6 1 2 3
direct
0.9203 0.5771 0.7646
0.7329 0.7329 0.2327
0.0797 0.4229 0.2354
0.5771 0.9203 0.7646
0.2671 0.2671 0.7673
0.4229 0.0797 0.2354
0.0000 0.0000 0.0000
0.3320 0.6680 0.0000
0.6680 0.3320 0.0000
0.1594 0.8406 0.5000
0.8406 0.1594 0.5000
0.5000 0.5000 0.5000
```

- Formation energy from raw total energies: -1.257 eV per atom

[5]
Below is a relaxed Mg2AlZn crystal, with properties calculated at the GGA-PBE level.

```
Mg2AlZn
1.0
-2.2669 2.8701 -3.0037
-4.7050 0.4467 0.2492
-1.9142 4.0334 1.5702
Al Mg Zn
1 2 1
direct
0.5000 0.5000 0.5000
0.0000 0.0000 0.0000
0.2500 0.2500 0.2500
0.7500 0.7500 0.7500
```

- Calculated formation energy: 57 meV/atom

[6]
Below is a relaxed CdTeIr crystal, with properties calculated at the GGA-PBE level.

```
CdTeIr
1.0
3.7023 0.0000 0.0000
-1.8511 3.2063 0.0000
0.0000 0.0000 6.0367
Ir Te Cd
1 1 1
direct
0.0000 0.0000 0.8950
0.6667 0.3333 0.1323
0.3333 0.6667 0.5848
```

- Relative energy among the computed polymorphs: 20.5 kJ/mol of formula units
- Formation energy from raw total energies: 0.130 eV per atom

[7]
Below is a relaxed Ho4Ga12Cu crystal, with properties calculated at the GGA-PBE level.

```
Ho4Ga12Cu
1.0
7.4556 0.0000 0.0000
-2.4852 7.0292 0.0000
-2.4852 -3.5146 6.0874
Ho Ga Cu
4 12 1
direct
0.0000 0.0000 0.5000
0.5000 0.0000 0.0000
0.5000 0.5000 0.5000
0.0000 0.5000 0.0000
0.0000 0.2917 0.2917
0.0000 0.7083 0.7083
0.7083 0.7083 0.0000
0.2917 0.2917 0.0000
0.2917 0.0000 0.2917
0.7083 0.0000 0.7083
0.5000 0.2500 0.7500
0.5000 0.7500 0.2500
0.7500 0.2500 0.5000
0.2500 0.7500 0.5000
0.7500 0.5000 0.2500
0.2500 0.5000 0.7500
0.0000 0.0000 0.0000
```

- Calculated formation energy: -510 meV/atom

[8]
Below is a relaxed Mg14BiB crystal, with properties calculated at the GGA-PBE level.

```
Mg14BiB
1.0
-6.1048 1.2766 1.3926
1.4460 -4.9196 -3.8137
0.5557 -5.9610 7.9003
Mg Bi B
14 1 1
direct
0.9887 0.4944 0.0000
0.0067 0.5034 0.5000
0.5056 0.0113 0.0000
0.4966 0.9933 0.5000
0.5056 0.4944 0.0000
0.4966 0.5034 0.5000
0.1621 0.8379 0.2281
0.1621 0.8379 0.7719
0.1621 0.3243 0.2281
0.1621 0.3243 0.7719
0.6757 0.8379 0.2281
0.6757 0.8379 0.7719
0.6667 0.3333 0.2525
0.6667 0.3333 0.7475
0.0000 0.0000 0.5000
0.0000 0.0000 0.0000
```

- Relative energy among the computed polymorphs: 16.5 kJ/mol of formula units
- Calculated formation energy: 171 meV/atom

[9]
Below is a relaxed Mo2Pb2Au crystal, with properties calculated at the GGA-PBE level.

```
Mo2Pb2Au
1.0
-1.5135 -2.6688 -3.0530
-0.5271 -3.1016 2.9726
-6.7847 -0.8618 1.0488
Pb Mo Au
2 2 1
direct
0.7500 0.2500 0.5000
0.2500 0.7500 0.5000
0.4131 0.4131 0.1738
0.5869 0.5869 0.8262
0.0000 0.0000 0.0000
```

- Relative energy among the computed polymorphs: 199.7 kJ/mol of formula units
- Calculated formation energy: 942 meV/atom

[10]
Below is a relaxed La3Tb2Nd4 crystal, with properties calculated at the GGA-PBE level.

```
La3Tb2Nd4
1.0
-0.1358 -3.5297 0.9565
1.0184 0.9400 -3.3869
26.2495 1.2205 8.2316
La Tb Nd
3 2 4
direct
0.0000 0.0000 0.9844
0.0000 0.0000 0.3198
0.6667 0.3333 0.6546
0.6667 0.3333 0.0890
0.6667 0.3333 0.8725
0.0000 0.0000 0.5422
0.6667 0.3333 0.4343
0.6667 0.3333 0.2116
0.0000 0.0000 0.7687
```

- Relative energy among the computed polymorphs: 44.1 kJ/mol of formula units
- Calculated formation energy: 69 meV/atom

no.,mass density (g/cm³)
1,13.088
2,5.861
3,2.297
4,10.387
5,3.124
6,10.016
7,8.120
8,2.653
9,11.473
10,6.819